No. 1
## Ti2TlN (PBE)

Data for Ti2TlN after structural relaxation.

Geometry as POSCAR:
```
Ti2TlN
1.0
1.5884 0.9171 6.9272
-1.5884 0.9171 6.9272
0.0000 -1.8341 6.9272
Ti Tl N
2 1 1
Direct
0.2161 0.2161 0.2161
0.7839 0.7839 0.7839
0.0000 0.0000 0.0000
0.5000 0.5000 0.5000
```

Summary:
uncorrected energy = -7.56 eV per atom
density of states at the Fermi level = 1.829 states/eV/f.u.
formation energy from raw total energies = -0.942 eV/atom

***

No. 2
## TiTl2N (PBE)

Data for TiTl2N after structural relaxation.

Geometry as POSCAR:
```
TiTl2N
1.0
0.0000 3.3905 3.3905
3.3905 0.0000 3.3905
3.3905 3.3905 0.0000
Ti Tl N
1 2 1
Direct
0.0000 0.0000 0.0000
0.2500 0.2500 0.2500
0.7500 0.7500 0.7500
0.5000 0.5000 0.5000
```

Summary:
uncorrected energy = -4.00 eV per atom
relative energy among the computed polymorphs = 1.57 eV/f.u.
density of states at the Fermi level = 1.804 states/eV/f.u.
formation energy from raw total energies = 1.233 eV/atom

***

No. 3
## TiTlN2 (PBE)

Data for TiTlN2 after structural relaxation.

Geometry as POSCAR:
```
TiTlN2
1.0
-2.6387 2.6387 4.6270
2.6387 -2.6387 4.6270
2.6387 2.6387 -4.6270
Ti Tl N
2 2 4
Direct
0.0000 0.0000 0.0000
0.7500 0.2500 0.5000
0.2500 0.7500 0.5000
0.5000 0.5000 0.0000
0.0318 0.6250 0.9068
0.3750 0.2818 0.4068
0.7182 0.1250 0.0932
0.8750 0.9682 0.5932
```

Summary:
uncorrected energy = -7.06 eV per atom
relative energy among the computed polymorphs = 0.00 eV/f.u.
density of states at the Fermi level = 2.027 states/eV/f.u.
formation energy from raw total energies = -0.333 eV/atom

***

No. 4
## TiTlN3 (PBE)

Data for TiTlN3 after structural relaxation.

Geometry as POSCAR:
```
TiTlN3
1.0
4.1065 0.0000 0.0000
0.0000 4.1065 0.0000
0.0000 0.0000 4.1065
Ti Tl N
1 1 3
Direct
0.0000 0.0000 0.0000
0.5000 0.5000 0.5000
0.0000 0.5000 0.5000
0.5000 0.0000 0.5000
0.5000 0.5000 0.0000
```

Summary:
uncorrected energy = -4.96 eV per atom
density of states at the Fermi level = 1.958 states/eV/f.u.
formation energy from raw total energies = 2.090 eV/atom

***

No. 5
## TiTlN2 (PBE)

Data for TiTlN2 after structural relaxation.

Geometry as POSCAR:
```
TiTlN2
1.0
1.7360 1.0023 6.2769
-1.7360 1.0023 6.2769
0.0000 -2.0046 6.2769
Ti Tl N
1 1 2
Direct
0.0000 0.0000 0.0000
0.5000 0.5000 0.5000
0.0999 0.0999 0.0999
0.9001 0.9001 0.9001
```

Summary:
uncorrected energy = -5.94 eV per atom
relative energy among the computed polymorphs = 4.47 eV/f.u.
density of states at the Fermi level = 3.816 states/eV/f.u.
formation energy from raw total energies = 0.786 eV/atom

***

No. 6
## TiTlN (PBE)

Data for TiTlN after structural relaxation.

Geometry as POSCAR:
```
TiTlN
1.0
5.7580 -1.6040 0.0000
5.7580 1.6040 0.0000
-0.0288 0.0000 5.6969
Ti Tl N
2 2 2
Direct
0.0899 0.0899 0.2485
0.9101 0.9101 0.7515
0.3744 0.3744 0.2510
0.6256 0.6256 0.7490
0.3231 0.3231 0.7483
0.6769 0.6769 0.2517
```

Summary:
uncorrected energy = -6.33 eV per atom
density of states at the Fermi level = 1.180 states/eV/f.u.
formation energy from raw total energies = -0.134 eV/atom

***

No. 7
## Ti4Tl2N (PBE)

Data for Ti4Tl2N after structural relaxation.

Geometry as POSCAR:
```
Ti4Tl2N
1.0
-2.0682 2.0682 7.2364
2.0682 -2.0682 7.2364
2.0682 2.0682 -7.2364
Ti Tl N
4 2 1
Direct
0.0000 0.5000 0.5000
0.1449 0.1449 0.0000
0.5000 0.0000 0.5000
0.8551 0.8551 0.0000
0.3475 0.3475 0.0000
0.6525 0.6525 0.0000
0.0000 0.0000 0.0000
```

Summary:
uncorrected energy = -6.84 eV per atom
density of states at the Fermi level = 6.489 states/eV/f.u.
formation energy from raw total energies = -0.467 eV/atom

***

No. 8
## TiTlN2 (PBE)

Data for TiTlN2 after structural relaxation.

Geometry as POSCAR:
```
TiTlN2
1.0
1.5724 0.9078 6.5650
-1.5724 0.9078 6.5650
0.0000 -1.8157 6.5650
Ti Tl N
1 1 2
Direct
0.0000 0.0000 0.0000
0.5000 0.5000 0.5000
0.3853 0.3853 0.3853
0.6147 0.6147 0.6147
```

Summary:
uncorrected energy = -6.97 eV per atom
relative energy among the computed polymorphs = 0.38 eV/f.u.
density of states at the Fermi level = 2.706 states/eV/f.u.
formation energy from raw total energies = -0.237 eV/atom